No. 1
{
  "formula": "Sm8Ni3IrI4",
  "functional": "PBE",
  "state": "relaxed",
  "space_group": "R-3m (166)",
  "formation_energy_uncorrected_ev_per_atom": -0.750,
  "e_tot_ev_per_atom": -5.14,
  "dos_at_fermi_per_ev_cell": 10.34,
  "volume_a3_per_fu": 468,
  "m_tot_mub_per_cell": 0.00,
  "cell": [[4.107, 2.371, 8.012], [-4.107, 2.371, 8.012], [0.000, -4.743, 8.012]],
  "species": ["Sm", "Sm", "Sm", "Sm", "Sm", "Sm", "Sm", "Sm", "Ni", "Ni", "Ni", "Ir", "I", "I", "I", "I"],
  "frac_coords": [[0.225, 0.729, 0.729], [0.227, 0.227, 0.227], [0.271, 0.271, 0.775], [0.271, 0.775, 0.271], [0.729, 0.225, 0.729], [0.729, 0.729, 0.225], [0.773, 0.773, 0.773], [0.775, 0.271, 0.271], [0.000, 0.000, 0.500], [0.000, 0.500, 0.000], [0.500, 0.000, 0.000], [0.500, 0.500, 0.500], [0.000, 0.000, 0.000], [0.000, 0.500, 0.500], [0.500, 0.000, 0.500], [0.500, 0.500, 0.000]]
}


No. 2
{
  "formula": "SrNi2IrI",
  "functional": "PBE",
  "state": "relaxed",
  "space_group": "P4/mmm (123)",
  "formation_energy_uncorrected_ev_per_atom": 0.621,
  "e_tot_ev_per_atom": -4.11,
  "dos_at_fermi_per_ev_cell": 1.27,
  "volume_a3_per_fu": 112,
  "m_tot_mub_per_cell": 0.00,
  "cell": [[4.695, 0.000, 0.000], [0.000, 4.695, 0.000], [0.000, 0.000, 5.079]],
  "species": ["Sr", "Ni", "Ni", "Ir", "I"],
  "frac_coords": [[0.000, 0.000, 0.000], [0.000, 0.500, 0.500], [0.500, 0.000, 0.500], [0.500, 0.500, 0.000], [0.500, 0.500, 0.500]]
}


No. 3
{
  "formula": "NiTeIrI2",
  "functional": "PBE",
  "state": "relaxed",
  "space_group": "P4/mmm (123)",
  "formation_energy_uncorrected_ev_per_atom": 1.160,
  "e_tot_ev_per_atom": -3.02,
  "dos_at_fermi_per_ev_cell": 6.26,
  "volume_a3_per_fu": 130,
  "polymorph_energy_mev_per_atom": 205,
  "m_tot_mub_per_cell": 1.89,
  "cell": [[5.075, 0.000, 0.000], [0.000, 5.075, 0.000], [0.000, 0.000, 5.043]],
  "species": ["Ni", "Te", "Ir", "I", "I"],
  "frac_coords": [[0.000, 0.000, 0.000], [0.000, 0.000, 0.500], [0.500, 0.500, 0.500], [0.000, 0.500, 0.000], [0.500, 0.000, 0.000]]
}


No. 4
{
  "formula": "NiTe2IrI",
  "functional": "PBE",
  "state": "relaxed",
  "space_group": "P4/mmm (123)",
  "formation_energy_uncorrected_ev_per_atom": 0.980,
  "e_tot_ev_per_atom": -3.51,
  "dos_at_fermi_per_ev_cell": 12.99,
  "volume_a3_per_fu": 150,
  "polymorph_energy_mev_per_atom": 0,
  "m_tot_mub_per_cell": 1.30,
  "cell": [[5.195, 0.000, 0.000], [0.000, 5.195, 0.000], [0.000, 0.000, 5.557]],
  "species": ["Ni", "Te", "Te", "Ir", "I"],
  "frac_coords": [[0.000, 0.000, 0.000], [0.000, 0.500, 0.500], [0.500, 0.000, 0.500], [0.500, 0.500, 0.500], [0.500, 0.500, 0.000]]
}


No. 5
{
  "formula": "NiTeIrI2",
  "functional": "PBE",
  "state": "relaxed",
  "space_group": "P4/mmm (123)",
  "formation_energy_uncorrected_ev_per_atom": 0.955,
  "e_tot_ev_per_atom": -3.22,
  "dos_at_fermi_per_ev_cell": 14.76,
  "volume_a3_per_fu": 157,
  "polymorph_energy_mev_per_atom": 0,
  "m_tot_mub_per_cell": 1.20,
  "cell": [[5.581, 0.000, 0.000], [0.000, 5.581, 0.000], [0.000, 0.000, 5.040]],
  "species": ["Ni", "Te", "Ir", "I", "I"],
  "frac_coords": [[0.000, 0.000, 0.000], [0.500, 0.500, 0.000], [0.500, 0.500, 0.500], [0.000, 0.500, 0.500], [0.500, 0.000, 0.500]]
}


No. 6
{
  "formula": "NiTe2IrI",
  "functional": "PBE",
  "state": "relaxed",
  "space_group": "P4/mmm (123)",
  "formation_energy_uncorrected_ev_per_atom": 1.072,
  "e_tot_ev_per_atom": -3.42,
  "dos_at_fermi_per_ev_cell": 6.86,
  "volume_a3_per_fu": 122,
  "polymorph_energy_mev_per_atom": 92,
  "m_tot_mub_per_cell": 0.00,
  "cell": [[4.938, 0.000, 0.000], [0.000, 4.938, 0.000], [0.000, 0.000, 5.005]],
  "species": ["Ni", "Te", "Te", "Ir", "I"],
  "frac_coords": [[0.000, 0.000, 0.000], [0.000, 0.500, 0.000], [0.500, 0.000, 0.000], [0.500, 0.500, 0.500], [0.000, 0.000, 0.500]]
}


No. 7
{
  "formula": "TiNiIr2I",
  "functional": "PBE",
  "state": "relaxed",
  "space_group": "P4/mmm (123)",
  "formation_energy_uncorrected_ev_per_atom": 0.985,
  "e_tot_ev_per_atom": -5.60,
  "dos_at_fermi_per_ev_cell": 7.33,
  "volume_a3_per_fu": 94,
  "m_tot_mub_per_cell": 0.02,
  "cell": [[4.655, 0.000, 0.000], [0.000, 4.655, 0.000], [0.000, 0.000, 4.356]],
  "species": ["Ti", "Ni", "Ir", "Ir", "I"],
  "frac_coords": [[0.000, 0.000, 0.000], [0.000, 0.000, 0.500], [0.000, 0.500, 0.500], [0.500, 0.000, 0.500], [0.500, 0.500, 0.000]]
}


No. 8
{
  "formula": "IrI2O8",
  "functional": "PBE",
  "state": "relaxed",
  "space_group": "C2/m (12)",
  "formation_energy_uncorrected_ev_per_atom": -0.142,
  "e_tot_ev_per_atom": -4.84,
  "dos_at_fermi_per_ev_cell": 5.31,
  "volume_a3_per_fu": 197,
  "m_tot_mub_per_cell": 0.98,
  "cell": [[5.522, -2.724, 0.000], [5.522, 2.724, 0.000], [-0.124, 0.000, 6.555]],
  "species": ["Ir", "I", "I", "O", "O", "O", "O", "O", "O", "O", "O"],
  "frac_coords": [[0.000, 0.000, 0.000], [0.149, 0.149, 0.375], [0.851, 0.851, 0.625], [0.105, 0.105, 0.791], [0.122, 0.656, 0.833], [0.312, 0.312, 0.408], [0.344, 0.878, 0.167], [0.656, 0.122, 0.833], [0.688, 0.688, 0.592], [0.878, 0.344, 0.167], [0.895, 0.895, 0.209]]
}


No. 9
{
  "formula": "IrI3O",
  "functional": "PBE",
  "state": "relaxed",
  "space_group": "Pm-3m (221)",
  "formation_energy_uncorrected_ev_per_atom": 1.324,
  "e_tot_ev_per_atom": -2.37,
  "dos_at_fermi_per_ev_cell": 5.48,
  "volume_a3_per_fu": 124,
  "polymorph_energy_mev_per_atom": 296,
  "m_tot_mub_per_cell": 2.52,
  "cell": [[4.981, 0.000, 0.000], [0.000, 4.981, 0.000], [0.000, 0.000, 4.981]],
  "species": ["Ir", "I", "I", "I", "O"],
  "frac_coords": [[0.000, 0.000, 0.000], [0.000, 0.500, 0.500], [0.500, 0.000, 0.500], [0.500, 0.500, 0.000], [0.500, 0.500, 0.500]]
}


No. 10
{
  "formula": "IrIO6",
  "functional": "PBE",
  "state": "relaxed",
  "space_group": "C2/m (12)",
  "formation_energy_uncorrected_ev_per_atom": -0.232,
  "e_tot_ev_per_atom": -5.25,
  "dos_at_fermi_per_ev_cell": 9.88,
  "volume_a3_per_fu": 112,
  "m_tot_mub_per_cell": 0.00,
  "cell": [[4.884, 0.000, 0.000], [0.000, 9.757, 0.000], [-1.169, 0.000, 4.715]],
  "species": ["Ir", "Ir", "I", "I", "O", "O", "O", "O", "O", "O", "O", "O", "O", "O", "O", "O"],
  "frac_coords": [[0.000, 0.000, 0.000], [0.500, 0.500, 0.000], [0.000, 0.500, 0.500], [0.500, 0.000, 0.500], [0.230, 0.000, 0.732], [0.238, 0.370, 0.752], [0.238, 0.630, 0.752], [0.262, 0.130, 0.248], [0.262, 0.870, 0.248], [0.270, 0.500, 0.268], [0.730, 0.500, 0.732], [0.738, 0.130, 0.752], [0.738, 0.870, 0.752], [0.762, 0.370, 0.248], [0.762, 0.630, 0.248], [0.770, 0.000, 0.268]]
}


No. 11
{
  "formula": "IrI3O",
  "functional": "PBE",
  "state": "relaxed",
  "space_group": "Pm-3m (221)",
  "formation_energy_uncorrected_ev_per_atom": 1.028,
  "e_tot_ev_per_atom": -2.67,
  "dos_at_fermi_per_ev_cell": 11.99,
  "volume_a3_per_fu": 155,
  "polymorph_energy_mev_per_atom": 0,
  "m_tot_mub_per_cell": 0.00,
  "cell": [[5.367, 0.000, 0.000], [0.000, 5.367, 0.000], [0.000, 0.000, 5.367]],
  "species": ["Ir", "I", "I", "I", "O"],
  "frac_coords": [[0.000, 0.000, 0.000], [0.000, 0.000, 0.500], [0.000, 0.500, 0.000], [0.500, 0.000, 0.000], [0.500, 0.500, 0.500]]
}


No. 12
{
  "formula": "IrOsI2O",
  "functional": "PBE",
  "state": "relaxed",
  "space_group": "P4/mmm (123)",
  "formation_energy_uncorrected_ev_per_atom": 1.048,
  "e_tot_ev_per_atom": -4.58,
  "dos_at_fermi_per_ev_cell": 4.69,
  "volume_a3_per_fu": 108,
  "polymorph_energy_mev_per_atom": 277,
  "m_tot_mub_per_cell": 0.92,
  "cell": [[5.443, 0.000, 0.000], [0.000, 5.443, 0.000], [0.000, 0.000, 3.646]],
  "species": ["Ir", "Os", "I", "I", "O"],
  "frac_coords": [[0.000, 0.000, 0.000], [0.500, 0.500, 0.500], [0.000, 0.500, 0.000], [0.500, 0.000, 0.000], [0.000, 0.000, 0.500]]
}